Here is a geometry-optimized Tb3Er4In structure from Alexandria. Energies are from GGA-PBE.

Cell: 11.1237 6.9952 6.1388 Å, 90.00 90.00 90.00°
Closest atoms and distances in Å follow each position.
Fractional positions:
1 Tb 0.0000 0.1274 0.0000  8 Er 3.35-3.70, 2 Tb 3.47, 2 In 3.49-3.51
2 Tb 0.2440 0.3836 0.1984  2 In 3.38-3.46, 7 Er 3.40-3.68, 3 Tb 3.47-3.48
3 Tb 0.2560 0.6164 0.6984  2 In 3.38-3.46, 7 Er 3.40-3.68, 3 Tb 3.47-3.48
4 Tb 0.5000 0.8726 0.5000  8 Er 3.35-3.70, 2 Tb 3.47, 2 In 3.49-3.51
5 Tb 0.7440 0.6164 0.6984  2 In 3.38-3.46, 7 Er 3.40-3.68, 3 Tb 3.47-3.48
6 Tb 0.7560 0.3836 0.1984  2 In 3.38-3.46, 7 Er 3.40-3.68, 3 Tb 3.47-3.48
7 Er 0.0000 0.3708 0.5307  6 Tb 3.35-3.68, 4 Er 3.48-3.50, 2 In 3.49-3.61
8 Er 0.0000 0.8707 0.5263  4 Tb 3.42-3.70, 6 Er 3.42-3.53, 2 In 3.47-3.56
9 Er 0.2394 0.8740 0.1770  1 In 3.32, 6 Tb 3.38-3.68, 5 Er 3.42-3.55
10 Er 0.2606 0.1260 0.6770  1 In 3.32, 6 Tb 3.38-3.68, 5 Er 3.42-3.55
11 Er 0.5000 0.1293 0.0263  4 Tb 3.42-3.70, 6 Er 3.42-3.53, 2 In 3.47-3.56
12 Er 0.5000 0.6292 0.0307  6 Tb 3.35-3.68, 4 Er 3.48-3.50, 2 In 3.49-3.61
13 Er 0.7394 0.1260 0.6770  1 In 3.32, 6 Tb 3.38-3.68, 5 Er 3.42-3.55
14 Er 0.7606 0.8740 0.1770  1 In 3.32, 6 Tb 3.38-3.68, 5 Er 3.42-3.55
15 In 0.0000 0.6258 0.0186  6 Er 3.32-3.61, 6 Tb 3.38-3.51
16 In 0.5000 0.3742 0.5186  6 Er 3.32-3.61, 6 Tb 3.38-3.51

Properties
The space-group type is Pmn2_1 (31). The theoretical density is 8.76 Mg/m³. The calculated formation energy comes out at -109 meV per atom. For the calculated volume, the calculation gives 29.85 A^3/atom. The value obtained for the total energy is -71.5 eV/cell.